! SbWSe PBEsol optimized geometry; values from VASP
&SYSTEM
  ibrav = 0, nat = 3, ntyp = 3
/
ATOMIC_SPECIES
Sb 121.76 Sb.upf
W 183.84 W.upf
Se 78.96 Se.upf
ATOMIC_POSITIONS crystal
Sb 0.000 0.000 0.000
W 0.648 0.648 0.000
Se 0.256 0.256 0.000
CELL_PARAMETERS angstrom
-1.554 1.554 6.538
1.554 -1.554 6.538
1.554 1.554 -6.538
! Space group: I4mm (107)
! Total moment, μB/f.u.: 0.00
! Formation energy (no corrections), eV/atom: 0.086
! Total energy, eV per formula unit: -21.958

=====

! SbW2Se PBEsol optimized geometry; values from VASP
&SYSTEM
  ibrav = 0, nat = 4, ntyp = 3
/
ATOMIC_SPECIES
Sb 121.76 Sb.upf
W 183.84 W.upf
Se 78.96 Se.upf
ATOMIC_POSITIONS crystal
Sb 0.000 0.000 0.000
W 0.000 0.500 0.500
W 0.500 0.500 0.000
Se 0.500 0.000 0.500
CELL_PARAMETERS angstrom
3.088 0.000 0.000
0.000 4.451 0.000
0.000 0.000 5.143
! Space group: Pmmm (47)
! Total moment, μB/f.u.: 0.00
! Formation energy (no corrections), eV/atom: 0.910
! Total energy, eV per formula unit: -32.382

=====

! Sb2WSe PBEsol optimized geometry; values from VASP
&SYSTEM
  ibrav = 0, nat = 8, ntyp = 3
/
ATOMIC_SPECIES
Sb 121.76 Sb.upf
W 183.84 W.upf
Se 78.96 Se.upf
ATOMIC_POSITIONS crystal
Sb 0.091 0.625 0.966
Sb 0.375 0.341 0.466
Sb 0.659 0.125 0.034
Sb 0.875 0.909 0.534
W 0.000 0.000 0.000
W 0.750 0.250 0.500
Se 0.250 0.750 0.500
Se 0.500 0.500 0.000
CELL_PARAMETERS angstrom
-3.146 3.146 6.079
3.146 -3.146 6.079
3.146 3.146 -6.079
! Space group: I-42d (122)
! Total moment, μB/f.u.: 0.00
! Formation energy (no corrections), eV/atom: 0.875
! Total energy, eV per formula unit: -23.271

=====

! Sb2WSe PBEsol optimized geometry; values from VASP
&SYSTEM
  ibrav = 0, nat = 4, ntyp = 3
/
ATOMIC_SPECIES
Sb 121.76 Sb.upf
W 183.84 W.upf
Se 78.96 Se.upf
ATOMIC_POSITIONS crystal
Sb 0.000 0.000 0.225
Sb 0.000 0.000 0.775
W 0.500 0.500 0.000
Se 0.500 0.500 0.500
CELL_PARAMETERS angstrom
3.395 0.000 0.000
0.000 3.395 0.000
0.000 0.000 6.983
! Space group: P4/mmm (123)
! Total moment, μB/f.u.: 0.00
! Formation energy (no corrections), eV/atom: 0.337
! Total energy, eV per formula unit: -25.426